Here is a relaxed Pm3PrNdSc crystal from Alexandria. Energies are from GGA-PBE.

Cell: 5.1205 8.0335 10.7622 Å, 116.29 90.00 90.00°
Element x y z (fractional)
Nd1 0.2500 0.6293 0.1290
Nd2 0.7500 0.3707 0.8710
Sc1 0.2500 0.1188 0.6197
Sc2 0.7500 0.8812 0.3803
Pr1 0.7500 0.8773 0.7022
Pr2 0.2500 0.1227 0.2978
Pm1 0.2500 0.6179 0.7883
Pm2 0.7500 0.8766 0.0455
Pm3 0.7500 0.3821 0.2117
Pm4 0.2500 0.1234 0.9545
Pm5 0.7500 0.3633 0.5411
Pm6 0.2500 0.6367 0.4589

Calculated values
The value obtained for the volume is 33.1 Å³/atom. Its calculated formation energy is 0.041 eV/atom. As for the space group: P2_1/m, No. 11. As for the density of states at the Fermi level: 1.61 states/eV per atom.



Here is a relaxed MoIr2Cl crystal from Alexandria. Energies are from GGA-PBE.

Cell: 2.8187 2.8187 9.7620 Å, 90.00 90.00 120.61°
Element x y z (fractional)
Mo1 0.0000 0.0000 0.4994
Ir1 0.0000 0.0000 0.0294
Ir2 0.5000 0.5000 0.2642
Cl1 0.5000 0.5000 0.7070

Calculated values
The value obtained for the volume is 16.7 Å³/atom. As for the space group: Cmm2, No. 35. As for the formation energy without anion corrections: 509 meV/atom. As for the density of states at the Fermi level: 1.23 states/eV per atom.



Here is a relaxed K2SrHf3S8 crystal from Alexandria. Energies are from GGA-PBE.

Cell: 7.6937 7.6937 8.6864 Å, 63.71 63.71 60.00°
Element x y z (fractional)
K1 0.4970 0.4970 0.5090
K2 0.1360 0.1360 0.5921
S1 0.2695 0.2695 0.1914
S2 0.2371 0.7016 0.8243
S3 0.2371 0.2371 0.8243
S4 0.7552 0.7552 0.1907
S5 0.7318 0.7318 0.8046
S6 0.7016 0.2371 0.8243
S7 0.7552 0.2988 0.1907
S8 0.2988 0.7552 0.1907
Hf1 0.0056 0.4975 0.9994
Hf2 0.4975 0.4975 0.9994
Hf3 0.4975 0.0056 0.9994
Sr1 0.8727 0.8727 0.3818

Calculated values
The value obtained for the volume is 27.3 Å³/atom. As for the space group: R3m, No. 160. As for the formation energy without anion corrections: -1530 meV/atom.



Here is a relaxed LiCeAlH6 crystal from Alexandria. Energies are from GGA-PBE.

Cell: 4.4120 4.4120 4.5660 Å, 90.00 90.00 60.00°
Site moments in Bohr magnetons follow the coordinates.
Element x y z (fractional)
H1 0.4986 0.4984 0.7731  0.00
H2 0.4984 0.4986 0.2269  0.00
H3 0.0030 0.4984 0.2269  0.00
H4 0.4986 0.0030 0.2269  0.00
H5 0.0029 0.4986 0.7731  0.00
H6 0.4984 0.0030 0.7731  0.00
Ce1 0.0000 0.0000 0.0000  0.61
Li1 0.6666 0.6667 0.5000  0.00
Al1 0.3333 0.3333 0.5000  0.00

Calculated values
The value obtained for the volume is 8.6 Å³/atom. As for the space group: P-6m2, No. 187. As for the density of states at the Fermi level: 0.64 states/eV per atom.



Here is a relaxed NbH2Au crystal from Alexandria. Energies are from GGA-PBE.

Cell: 3.1112 3.1112 5.5637 Å, 73.76 73.76 60.00°
Element x y z (fractional)
Au1 0.4928 0.4928 0.5215
H1 0.0442 0.0442 0.8673
H2 0.2892 0.2892 0.1325
Nb1 0.6738 0.6738 0.9787

Calculated values
The value obtained for the volume is 11.0 Å³/atom. As for the space group: R3m, No. 160. As for the density of states at the Fermi level: 0.35 states/eV per atom.



Here is a relaxed Er2ScW crystal from Alexandria. Energies are from GGA-PBE.

Cell: 3.1427 3.1427 11.3028 Å, 82.01 82.01 60.00°
Element x y z (fractional)
W1 0.0000 0.0000 0.0000
Sc1 0.5000 0.5000 0.5000
Er1 0.9158 0.9158 0.2526
Er2 0.0842 0.0842 0.7474

Calculated values
The value obtained for the volume is 23.9 Å³/atom. Its calculated formation energy is 0.743 eV/atom. As for the space group: R-3m, No. 166. As for the density of states at the Fermi level: 1.40 states/eV per atom.



Here is a relaxed Ta2TcBF crystal from Alexandria. Energies are from GGA-PBE.

Cell: 4.6013 3.3847 4.6013 Å, 90.00 90.00 90.00°
Element x y z (fractional)
F1 0.0000 0.5000 0.0000
Tc1 0.5000 0.5000 0.5000
Ta1 0.5000 0.0000 0.0000
Ta2 0.0000 0.0000 0.5000
B1 0.0000 0.0000 0.0000

Calculated values
The value obtained for the volume is 14.3 Å³/atom. As for the space group: P4/mmm, No. 123. As for the formation energy without anion corrections: 331 meV/atom. As for the density of states at the Fermi level: 0.97 states/eV per atom.



Here is a relaxed Li2CoHgSb crystal from Alexandria. Energies are from GGA-PBE.

Cell: 4.7094 4.8948 4.7094 Å, 90.00 90.00 90.00°
Site moments in Bohr magnetons follow the coordinates.
Element x y z (fractional)
Li1 0.5000 0.0000 0.0000  0.00
Li2 0.0000 0.0000 0.5000  -0.01
Co1 0.0000 0.5000 0.0000  1.63
Sb1 0.5000 0.5000 0.5000  -0.01
Hg1 0.0000 0.0000 0.0000  -0.02

Calculated values
The value obtained for the volume is 21.7 Å³/atom. As for the space group: P4/mmm, No. 123. As for the formation energy without anion corrections: 385 meV/atom. As for the density of states at the Fermi level: 0.93 states/eV per atom.



no.,total magnetization (μB per cell),E (eV per atom)
1,0.000,-4.980
2,0.000,-7.091
3,0.000,-6.299
4,0.680,-3.777
5,0.000,-5.044
6,0.000,-6.360
7,0.000,-8.193
8,1.581,-2.687